<w>
# Pr12SmY6 GGA-PBE relaxed
data_Pr12SmY6
_space_group_name_H-M_alt 'R -3 m'
_space_group_IT_number 166
_space_group_name_Hall '-R 3 2"'
_cell_length_a 13.6761
_cell_length_b 13.6761
_cell_length_c 12.7050
_cell_angle_alpha 90.00
_cell_angle_beta 90.00
_cell_angle_gamma 120.00
loop_
_atom_site_label
_atom_site_type_symbol
_atom_site_fract_x
_atom_site_fract_y
_atom_site_fract_z
_atom_site_occupancy
Pr1 Pr 0.0000 0.2567 0.0000 1
Pr2 Pr 0.0906 0.1812 0.7608 1
Sm1 Sm 0.0000 0.0000 0.5000 1
Y1 Y 0.0446 0.5223 0.1209 1
# theoretical density	5.748	g cm⁻³
# crystal system	trigonal
# size of the total moment	0.0000	μB/atom


<x>
# Pr12SmY6 GGA-PBE relaxed
data_Pr12SmY6
_space_group_name_H-M_alt 'R -3'
_space_group_IT_number 148
_space_group_name_Hall '-R 3'
_cell_length_a 12.3157
_cell_length_b 12.3157
_cell_length_c 15.4377
_cell_angle_alpha 90.00
_cell_angle_beta 90.00
_cell_angle_gamma 120.00
loop_
_atom_site_label
_atom_site_type_symbol
_atom_site_fract_x
_atom_site_fract_y
_atom_site_fract_z
_atom_site_occupancy
Pr1 Pr 0.0028 0.8297 0.1924 1
Pr2 Pr 0.0478 0.8497 0.4167 1
Sm1 Sm 0.0000 0.0000 0.0000 1
Y1 Y 0.0157 0.4278 0.6876 1
# theoretical density	5.834	g cm⁻³
# crystal system	trigonal
# size of the total moment	0.0000	μB/atom


Which one is the most stable? From the structures above, <x>.